Y3Al2Ni6 | PBE | optimized geometry

Summary:
SG: No. 229
DFT total energy: -6.04 eV per atom

Geometry as CIF:
```
data_Y3Al2Ni6
_chemical_formula_sum 'Y6 Al4 Ni12'
_space_group_name_H-M_alt 'P 1'
_space_group_IT_number 1
_cell_length_a 7.728
_cell_length_b 7.728
_cell_length_c 7.728
_cell_angle_alpha 109.47
_cell_angle_beta 109.47
_cell_angle_gamma 109.47
loop_
_space_group_symop_operation_xyz
'x,y,z'
loop_
_atom_site_label
_atom_site_type_symbol
_atom_site_fract_x
_atom_site_fract_y
_atom_site_fract_z
Y1 Y 0.000 0.291 0.291
Y2 Y 0.000 0.709 0.709
Y3 Y 0.291 0.000 0.291
Y4 Y 0.291 0.291 0.000
Y5 Y 0.709 0.000 0.709
Y6 Y 0.709 0.709 0.000
Al1 Al 0.000 0.000 0.500
Al2 Al 0.000 0.500 0.000
Al3 Al 0.500 0.000 0.000
Al4 Al 0.500 0.500 0.500
Ni1 Ni 0.000 0.334 0.666
Ni2 Ni 0.000 0.666 0.334
Ni3 Ni 0.333 0.666 0.666
Ni4 Ni 0.334 0.000 0.666
Ni5 Ni 0.334 0.334 0.667
Ni6 Ni 0.334 0.666 0.000
Ni7 Ni 0.334 0.667 0.334
Ni8 Ni 0.666 0.000 0.334
Ni9 Ni 0.666 0.333 0.666
Ni10 Ni 0.666 0.334 0.000
Ni11 Ni 0.666 0.666 0.333
Ni12 Ni 0.667 0.334 0.334
```